The following is a PBE calculation of a geometry-optimized Pa2NiTe structure, from the Alexandria database.

Geometry as POSCAR:
```
Pa2NiTe
1.0
-2.882 0.551 -1.558
-0.190 -0.313 -3.302
-3.435 -9.552 -0.567
Ni Pa Te
1 2 1
Direct
0.000 0.000 0.000 Ni
0.083 0.083 0.752 Pa
0.917 0.917 0.248 Pa
0.500 0.500 0.500 Te
```

Computed properties:
Total DFT energy (no corrections) ... -6.671 eV/atom
Space-group type ... R-3m (166)
Uncorrected formation energy ... 308 meV per atom
Density ... 11.28 Mg/m³